1.
Computed, not measured: Ho8Er6Th after structural relaxation at the PBE level of DFT.

Cell and atoms, written as POSCAR:
```
Ho8Er6Th
1.0
-6.5145 2.6903 5.5066
0.3980 -1.9955 8.7097
1.3505 6.0345 5.9134
Er Ho Th
6 8 1
direct
0.5372 0.1046 0.1249
0.7666 0.4628 0.8751
0.4628 0.8954 0.8751
0.1046 0.2334 0.1249
0.2334 0.5372 0.1249
0.8954 0.7666 0.8751
0.8882 0.2496 0.5810
0.2812 0.8882 0.5810
0.4228 0.4228 0.7315
0.5772 0.5772 0.2685
0.7188 0.1118 0.4190
0.1118 0.7504 0.4190
0.2496 0.2812 0.5810
0.7504 0.7188 0.4190
0.0000 0.0000 0.0000
```

Results
- space-group type = No. 148
- magnetization (Bohr magnetons per cell) = 0.002
- V (Å³ per cell) = 472.6
- ρ (Mg/m³) = 8.98
- D(E_F) (states/eV per atom) = 1.545
- formation energy (meV/atom) = 128
- total DFT energy (no corrections) (eV per formula unit) = -69.5


2.
Computed, not measured: Ba2Al after structural relaxation at the PBE level of DFT.

Cell and atoms, written as POSCAR:
```
Ba2Al
1.0
5.9522 0.0000 0.0000
0.0000 5.9522 0.0000
0.0000 0.0000 3.9797
Ba Al
2 1
direct
0.0000 0.5000 0.5000
0.5000 0.0000 0.5000
0.0000 0.0000 0.0000
```

Results
- space-group type = No. 123
- magnetization (Bohr magnetons per cell) = 0.000
- V (Å³ per cell) = 141.0
- ρ (Mg/m³) = 3.55
- D(E_F) (states/eV per atom) = 0.903
- formation energy (meV/atom) = 8
- total DFT energy (no corrections) (eV per formula unit) = -7.6


3.
Computed, not measured: CePt6Au2 after structural relaxation at the PBE level of DFT.

Cell and atoms, written as POSCAR:
```
CePt6Au2
1.0
5.4729 0.0000 3.1598
1.8243 5.1599 3.1598
0.0000 0.0000 6.3196
Pt Ce Au
6 1 2
direct
0.2854 0.7146 0.2854
0.7146 0.2854 0.2854
0.7146 0.2854 0.7146
0.2854 0.7146 0.7146
0.2854 0.2854 0.7146
0.7146 0.7146 0.2854
0.0000 0.0000 0.0000
0.2500 0.2500 0.2500
0.7500 0.7500 0.7500
```

Results
- space-group type = No. 225
- magnetization (Bohr magnetons per cell) = 0.000
- V (Å³ per cell) = 178.5
- ρ (Mg/m³) = 15.86
- D(E_F) (states/eV per atom) = 0.371
- formation energy (meV/atom) = 211
- total DFT energy (no corrections) (eV per formula unit) = -46.8


4.
Computed, not measured: CePu2Ge after structural relaxation at the PBE level of DFT.

Cell and atoms, written as POSCAR:
```
CePu2Ge
1.0
-3.7351 0.9533 2.5205
0.5942 -3.8419 2.3336
2.5855 2.2177 2.9927
Ge Pu Ce
1 2 1
direct
0.5000 0.0000 0.0000
0.0000 0.5000 0.0000
0.0000 0.0000 0.5000
0.5000 0.5000 0.5000
```

Results
- space-group type = No. 123
- magnetization (Bohr magnetons per cell) = 12.168
- energy above the lowest structure with this stoichiometry (meV/atom) = 0.0
- V (Å³ per cell) = 94.7
- ρ (Mg/m³) = 12.29
- D(E_F) (states/eV per atom) = 2.280
- formation energy (meV/atom) = -330
- total DFT energy (no corrections) (eV per formula unit) = -40.5


5.
Computed, not measured: SrSc2Ta after structural relaxation at the PBE level of DFT.

Cell and atoms, written as POSCAR:
```
SrSc2Ta
1.0
5.2924 -0.0016 -0.0010
4.3595 3.0007 -0.0010
0.6461 0.2008 6.6076
Sr Ta Sc
1 1 2
direct
0.7500 0.7500 0.7500
0.2500 0.2500 0.2500
0.9852 0.9852 0.0569
0.5148 0.5148 0.4431
```

Results
- space-group type = No. 12
- magnetization (Bohr magnetons per cell) = 0.000
- energy above the lowest structure with this stoichiometry (meV/atom) = 149.5
- V (Å³ per cell) = 105.0
- ρ (Mg/m³) = 5.67
- D(E_F) (states/eV per atom) = 1.382
- formation energy (meV/atom) = 467
- total DFT energy (no corrections) (eV per formula unit) = -24.3


6.
Computed, not measured: Be5CuIr4 after structural relaxation at the PBE level of DFT.

Cell and atoms, written as POSCAR:
```
Be5CuIr4
1.0
2.8188 0.0000 0.0000
0.0000 2.8188 0.0000
0.0000 0.0000 13.7194
Ir Be Cu
4 5 1
direct
0.0000 0.0000 0.8067
0.0000 0.0000 0.3988
0.0000 0.0000 0.1933
0.0000 0.0000 0.6012
0.5000 0.5000 0.2963
0.5000 0.5000 0.7037
0.5000 0.5000 0.8958
0.5000 0.5000 0.5000
0.5000 0.5000 0.1042
0.0000 0.0000 0.0000
```

Results
- space-group type = No. 123
- magnetization (Bohr magnetons per cell) = 0.000
- V (Å³ per cell) = 109.0
- ρ (Mg/m³) = 13.37
- D(E_F) (states/eV per atom) = 0.551
- formation energy (meV/atom) = -492
- total DFT energy (no corrections) (eV per formula unit) = -63.1


> Among the records above, which one has the highest D(E_F)?

CePu2Ge


Copy entry 6 word for word.
Computed, not measured: Be5CuIr4 after structural relaxation at the PBE level of DFT.

Cell and atoms, written as POSCAR:
```
Be5CuIr4
1.0
2.8188 0.0000 0.0000
0.0000 2.8188 0.0000
0.0000 0.0000 13.7194
Ir Be Cu
4 5 1
direct
0.0000 0.0000 0.8067
0.0000 0.0000 0.3988
0.0000 0.0000 0.1933
0.0000 0.0000 0.6012
0.5000 0.5000 0.2963
0.5000 0.5000 0.7037
0.5000 0.5000 0.8958
0.5000 0.5000 0.5000
0.5000 0.5000 0.1042
0.0000 0.0000 0.0000
```

Results
- space-group type = No. 123
- magnetization (Bohr magnetons per cell) = 0.000
- V (Å³ per cell) = 109.0
- ρ (Mg/m³) = 13.37
- D(E_F) (states/eV per atom) = 0.551
- formation energy (meV/atom) = -492
- total DFT energy (no corrections) (eV per formula unit) = -63.1


> What is the magnetization in the fifth record?

0.000 Bohr magnetons per cell


> What is the V in the second record?

141.0 Å³ per cell